No. 1
VASP calculation (PBE) on a relaxed P3AuN crystal.

Cell lengths 4.7833, 4.7833, 4.7833 Å; angles 90.00, 90.00, 90.00 degrees
Space group Pm-3m (No. 221)
Asymmetric unit:
P1 0.0000 0.0000 0.5000
Au1 0.0000 0.0000 0.0000
N1 0.5000 0.5000 0.5000

Summary:
The energy above the most stable polymorph in this dataset comes out at 135.87 kJ per mole of atoms. The crystal system is cubic.

***

No. 2
VASP calculation (PBE) on a relaxed Ba2Re2TcN6 crystal.

Cell lengths 5.9897, 5.9897, 17.6648 Å; angles 90.00, 90.00, 120.00 degrees
Space group R-3m (No. 166, hexagonal axes)
Asymmetric unit:
Ba1 0.0000 0.0000 0.2340
Re1 0.0000 0.0000 0.4262
Tc1 0.0000 0.0000 0.0000
N1 0.0051 0.5026 0.7321

Summary:
The crystal system is trigonal.

***

Values of formation energy without anion corrections, in order: 2.358 -0.435, all in eV per atom.
Values of calculated total energy, in order: -16.04 -281.53, all in eV per cell.